Computed, not measured: an optimized crystal structure of Mn2SeBr at the PBE level of DFT.

```
Mn2SeBr
1.0
-4.325 -1.703 2.551
3.156 -2.873 3.147
-1.098 5.102 -0.934
Mn Br Se
2 1 1
direct
0.981 0.981 0.000
0.519 0.519 0.000
0.250 0.750 0.500
0.750 0.250 0.500
```

Values from the calculation:
The symmetry is No. 71. As for the electronic total energy: -0.427 Ry/atom. The calculation puts the energy above the most stable polymorph in this dataset at 24.85 kJ per mole of atoms. The spin magnetization comes out at 9.02 μB per cell.